## BaBr2 (PBE)

Data for BaBr2 after structural relaxation.

Cell and atoms, written as extended XYZ:
```
6
Lattice="-1.747 -1.727 7.480 1.494 1.236 7.630 -5.412 5.650 5.295" Properties=species:S:1:pos:R:3 pbc="T T T"
Ba -1.465 1.222 7.496
Ba -4.200 3.938 12.909
Br -0.087 0.005 1.768
Br -3.120 2.615 15.689
Br -2.545 2.544 4.716
Br -5.578 5.154 18.637
```

Values from the calculation:
spin magnetization = 0.000 μB per atom
density of states at the Fermi level = 0.000 states/eV/atom
ΔE_f (raw) = -2.06 eV per atom
raw total energy = -3.814 eV per atom


## BaPbBr2 (PBE)

Data for BaPbBr2 after structural relaxation.

Cell and atoms, written as extended XYZ:
```
4
Lattice="-2.184 5.027 4.728 -1.791 0.366 7.004 2.491 3.150 6.022" Properties=species:S:1:pos:R:3 pbc="T T T"
Pb -0.657 3.779 7.853
Ba -0.380 2.189 4.549
Br -1.476 8.497 17.656
Br -1.198 6.894 14.325
```

Values from the calculation:
spin magnetization = 0.000 μB per atom
density of states at the Fermi level = 0.052 states/eV/atom
ΔE_f (raw) = -1.06 eV per atom
raw total energy = -3.303 eV per atom
distance to the lowest polymorph of the same formula = 0.35 eV per formula unit


## Cs3BiTe (PBE)

Data for Cs3BiTe after structural relaxation.

Cell and atoms, written as extended XYZ:
```
10
Lattice="-2.907 -3.842 -2.066 6.842 -4.684 5.625 -7.881 1.433 8.393" Properties=species:S:1:pos:R:3 pbc="T T T"
Cs -1.724 -0.694 3.873
Cs 0.080 -4.920 9.176
Cs -6.427 -2.464 7.087
Cs 3.273 -8.114 3.996
Cs 2.630 -3.495 2.972
Cs -1.089 -5.314 4.905
Bi -2.545 -2.292 7.961
Bi -3.807 -5.096 8.304
Te 2.406 -5.216 6.455
Te -0.862 -3.591 1.421
```

Values from the calculation:
spin magnetization = 0.000 μB per atom
density of states at the Fermi level = 0.389 states/eV/atom
ΔE_f (raw) = -0.67 eV per atom
raw total energy = -2.590 eV per atom
distance to the lowest polymorph of the same formula = 0.00 eV per formula unit


## CaMgTlPb (PBE)

Data for CaMgTlPb after structural relaxation.

Cell and atoms, written as extended XYZ:
```
4
Lattice="-2.589 -4.637 0.896 2.737 -4.339 1.643 -0.604 -1.818 5.034" Properties=species:S:1:pos:R:3 pbc="T T T"
Pb -0.228 -5.397 3.787
Tl 0.000 0.000 0.000
Mg -0.114 -2.699 1.893
Ca -0.343 -8.096 5.680
```

Values from the calculation:
spin magnetization = 0.000 μB per atom
density of states at the Fermi level = 0.476 states/eV/atom
raw total energy = -2.699 eV per atom
distance to the lowest polymorph of the same formula = 0.06 eV per formula unit
DFT formation energy = -0.281 eV/atom


## Mn4CoW (PBE)

Data for Mn4CoW after structural relaxation.

Cell and atoms, written as extended XYZ:
```
6
Lattice="2.430 -3.119 2.431 -0.931 -4.525 -0.444 3.015 -2.789 -2.161" Properties=species:S:1:pos:R:3 pbc="T T T"
Mn 2.918 -5.475 1.169
Mn 3.215 -5.308 -1.162
Mn 1.211 -6.189 -0.290
Mn 1.684 -3.892 -0.065
Co 0.000 0.000 0.000
W 3.386 -7.824 -0.131
```

Values from the calculation:
spin magnetization = 0.213 μB per atom
density of states at the Fermi level = 0.963 states/eV/atom
raw total energy = -9.388 eV per atom
DFT formation energy = 0.068 eV/atom


## Ta3MoPt (PBE)

Data for Ta3MoPt after structural relaxation.

Cell and atoms, written as extended XYZ:
```
5
Lattice="-0.386 2.148 4.298 2.914 -3.323 1.923 3.820 2.752 -1.033" Properties=species:S:1:pos:R:3 pbc="T T T"
Mo 3.174 0.789 2.594
Pt 0.000 0.000 0.000
Ta 1.457 -1.662 0.961
Ta 1.910 1.376 -0.517
Ta -0.193 1.074 2.149
```

Values from the calculation:
spin magnetization = 0.000 μB per atom
density of states at the Fermi level = 1.269 states/eV/atom
raw total energy = -8.987 eV per atom
distance to the lowest polymorph of the same formula = 0.52 eV per formula unit
DFT formation energy = 1.499 eV/atom


## KNaTc3 (PBE)

Data for KNaTc3 after structural relaxation.

Cell and atoms, written as extended XYZ:
```
5
Lattice="-4.198 0.730 2.406 -0.548 -4.836 0.511 2.454 0.169 4.230" Properties=species:S:1:pos:R:3 pbc="T T T"
Na 0.000 0.000 0.000
K -1.146 -1.968 3.574
Tc -0.274 -2.418 0.256
Tc 1.227 0.085 2.115
Tc -2.099 0.365 1.203
```

Values from the calculation:
spin magnetization = 1.512 μB per atom
density of states at the Fermi level = 1.293 states/eV/atom
raw total energy = -4.050 eV per atom
distance to the lowest polymorph of the same formula = 0.00 eV per formula unit
DFT formation energy = 2.653 eV/atom


## LiSmOs (PBE)

Data for LiSmOs after structural relaxation.

Cell and atoms, written as extended XYZ:
```
6
Lattice="-2.323 -4.197 -3.026 4.004 -0.628 -2.202 2.511 -0.682 4.760" Properties=species:S:1:pos:R:3 pbc="T T T"
Sm 2.370 -1.805 2.408
Sm 1.822 -3.703 -2.877
Li 1.267 -0.400 0.003
Li 2.924 -5.108 -0.471
Os 0.956 -3.040 0.191
Os 3.235 -2.467 -0.659
```

Values from the calculation:
spin magnetization = 0.000 μB per atom
density of states at the Fermi level = 0.681 states/eV/atom
raw total energy = -5.882 eV per atom
DFT formation energy = 0.072 eV/atom


## HgRu4Se (PBE)

Data for HgRu4Se after structural relaxation.

Cell and atoms, written as extended XYZ:
```
6
Lattice="0.000 3.689 3.689 3.689 0.000 3.689 3.689 3.689 0.000" Properties=species:S:1:pos:R:3 pbc="T T T"
Hg 0.000 0.000 0.000
Ru 2.772 2.772 4.606
Ru 2.772 4.606 2.772
Ru 4.606 4.606 4.606
Ru 4.606 2.772 2.772
Se 1.844 1.844 1.844
```

Values from the calculation:
spin magnetization = 0.402 μB per atom
density of states at the Fermi level = 1.324 states/eV/atom
ΔE_f (raw) = 0.79 eV per atom
raw total energy = -6.027 eV per atom


## Mg3NiB (PBE)

Data for Mg3NiB after structural relaxation.

Cell and atoms, written as extended XYZ:
```
5
Lattice="-2.071 -1.945 3.419 2.195 -3.778 -0.820 3.264 1.306 2.721" Properties=species:S:1:pos:R:3 pbc="T T T"
Ni 1.694 -2.209 2.660
Mg 1.098 -1.889 -0.410
Mg 1.632 0.653 1.360
Mg -1.036 -0.973 1.709
B 0.000 0.000 0.000
```

Values from the calculation:
spin magnetization = 0.000 μB per atom
density of states at the Fermi level = 0.579 states/eV/atom
raw total energy = -3.019 eV per atom
distance to the lowest polymorph of the same formula = 0.00 eV per formula unit
DFT formation energy = 0.429 eV/atom